No. 1
Compound: NbV2As
Source: the Alexandria database
Functional: GGA-PBE
Structure: optimized geometry

abc: 3.300 3.300 5.543
angles: 90.00 90.00 90.00
Fractional positions:
Nb (0.000, 0.000, 0.000)
V (0.500, 0.500, 0.270)
V (0.500, 0.500, 0.730)
As (0.000, 0.000, 0.500)

energy relative to the elements	-104	kJ/mol of formula units

=====

No. 2
Compound: Sm5Sb4I
Source: the Alexandria database
Functional: GGA-PBE
Structure: optimized geometry

abc: 7.765 7.765 7.765
angles: 99.51 99.51 132.02
Fractional positions:
Sm (0.000, 0.000, 0.000)
Sm (0.184, 0.396, 0.579)
Sm (0.396, 0.816, 0.212)
Sm (0.604, 0.184, 0.788)
Sm (0.816, 0.604, 0.421)
Sb (0.105, 0.704, 0.809)
Sb (0.296, 0.105, 0.401)
Sb (0.704, 0.895, 0.599)
Sb (0.895, 0.296, 0.191)
I (0.500, 0.500, 0.000)

E_form (uncorrected)	-1.14	eV/atom